Entry from the Alexandria database: a geometry-optimized Y2Ag2Pd structure (PBE-GGA).

Results
Volume ... 118.37 Å³ per cell
Raw total energy ... -5.04 eV per atom
E above lowest polymorph ... 152.1 meV per atom
ΔH_f (0 K) ... -275 meV per atom

Cell and atoms, written as POSCAR:
```
Y2Ag2Pd
1.0
-1.8757 1.8757 8.4105
1.8757 -1.8757 8.4105
1.8757 1.8757 -8.4105
Y Ag Pd
2 2 1
Cartesian
0.0000 0.0000 1.6255
0.0000 0.0000 15.1956
1.8757 0.0000 4.2053
0.0000 1.8757 4.2053
0.0000 0.0000 8.4105
```